1:
First-principles (PBE) data for crystalline Tb2ScPa at its relaxed geometry, as listed in Alexandria via LeMat-Bulk.

Values from the calculation:
crystal system: tetragonal

```
4
Lattice="-3.013 -0.937 -1.121 -0.726 -1.270 3.012 -3.787 8.820 2.806" Properties=species:S:1:pos:R:3 pbc="T T T"
Sc -1.870 -1.104 0.946
Pa -3.763 3.306 2.349
Tb -2.820 6.568 2.090
Tb -0.967 2.252 0.717
```

=====

2:
First-principles (PBE) data for crystalline Tb2ScPa at its relaxed geometry, as listed in Alexandria via LeMat-Bulk.

Values from the calculation:
crystal system: trigonal

```
4
Lattice="-1.996 -0.738 2.496 1.229 -0.434 3.010 -1.715 11.234 4.108" Properties=species:S:1:pos:R:3 pbc="T T T"
Sc -1.241 5.031 4.807
Pa 0.000 0.000 0.000
Tb -1.324 8.118 3.499
Tb -1.158 1.943 6.115
```

=====

3:
First-principles (PBE) data for crystalline Tb2ScPa at its relaxed geometry, as listed in Alexandria via LeMat-Bulk.

Values from the calculation:
crystal system: tetragonal

```
4
Lattice="4.793 0.000 0.000 0.000 4.827 0.000 0.000 0.000 4.827" Properties=species:S:1:pos:R:3 pbc="T T T"
Sc 2.396 0.000 0.000
Pa 2.396 2.413 2.413
Tb 0.000 0.000 2.413
Tb 0.000 2.413 0.000
```

=====

Result of the stability comparison: 1 is the most stable of them.

=====

1:
First-principles (PBE) data for crystalline TbSc2Pa at its relaxed geometry, as listed in Alexandria via LeMat-Bulk.

Values from the calculation:
crystal system: trigonal

```
4
Lattice="-1.364 2.262 -2.026 -2.639 1.762 1.008 5.273 8.932 3.689" Properties=species:S:1:pos:R:3 pbc="T T T"
Sc 1.041 9.818 2.056
Sc 0.230 3.138 0.614
Pa 0.000 0.000 0.000
Tb 0.635 6.478 1.335
```

=====

2:
First-principles (PBE) data for crystalline TbSc2Pa at its relaxed geometry, as listed in Alexandria via LeMat-Bulk.

Values from the calculation:
crystal system: trigonal

```
4
Lattice="3.293 0.000 0.000 1.646 2.852 0.000 1.646 0.951 11.001" Properties=species:S:1:pos:R:3 pbc="T T T"
Tb 3.293 1.901 0.014
Sc 1.646 0.951 8.155
Sc 1.646 0.951 2.839
Pa 3.293 1.901 5.493
```

=====

3:
First-principles (PBE) data for crystalline TbSc2Pa at its relaxed geometry, as listed in Alexandria via LeMat-Bulk.

Values from the calculation:
crystal system: cubic

```
4
Lattice="-0.055 -1.718 5.017 4.462 -1.790 2.239 2.382 2.833 3.799" Properties=species:S:1:pos:R:3 pbc="T T T"
Sc 1.697 -0.169 2.764
Sc 5.092 -0.506 8.291
Pa 3.395 -0.337 5.527
Tb 0.000 0.000 0.000
```

=====

4:
First-principles (PBE) data for crystalline TbSc2Pa at its relaxed geometry, as listed in Alexandria via LeMat-Bulk.

Values from the calculation:
crystal system: tetragonal

```
4
Lattice="3.318 0.000 0.000 0.000 3.318 0.000 0.000 0.000 9.540" Properties=species:S:1:pos:R:3 pbc="T T T"
Sc 0.000 0.000 7.309
Sc 0.000 0.000 2.231
Pa 1.659 1.659 0.000
Tb 1.659 1.659 4.770
```

=====

Result of the stability comparison: 2 is the most stable of them.

=====

1:
First-principles (PBE) data for crystalline ScPa2Tc at its relaxed geometry, as listed in Alexandria via LeMat-Bulk.

Values from the calculation:
crystal system: tetragonal

```
4
Lattice="3.601 0.000 0.000 0.000 3.601 0.000 0.000 0.000 7.076" Properties=species:S:1:pos:R:3 pbc="T T T"
Sc 1.801 1.801 3.538
Pa 0.000 0.000 5.630
Pa 0.000 0.000 1.447
Tc 1.801 1.801 0.000
```

=====

2:
First-principles (PBE) data for crystalline ScPa2Tc at its relaxed geometry, as listed in Alexandria via LeMat-Bulk.

Values from the calculation:
crystal system: cubic

```
4
Lattice="4.985 0.000 0.000 2.493 4.318 0.000 2.493 1.439 4.071" Properties=species:S:1:pos:R:3 pbc="T T T"
Sc 4.985 2.878 2.035
Pa 2.493 1.439 1.018
Pa 7.478 4.318 3.053
Tc 0.000 0.000 0.000
```

=====

Result of the stability comparison: 1 is the most stable of them.

=====

1:
First-principles (PBE) data for crystalline ScPa2Tc3 at its relaxed geometry, as listed in Alexandria via LeMat-Bulk.

Values from the calculation:
crystal system: trigonal

```
12
Lattice="4.785 0.000 0.000 -2.393 4.144 0.000 0.000 0.000 11.722" Properties=species:S:1:pos:R:3 pbc="T T T"
Sc 0.000 2.763 7.785
Sc 2.393 1.381 3.937
Pa 0.000 0.000 5.861
Pa 0.000 2.763 2.093
Pa 2.393 1.381 9.630
Pa 0.000 0.000 0.000
Tc 0.000 2.763 4.962
Tc 2.393 1.381 0.915
Tc 0.000 0.000 8.888
Tc 0.000 0.000 2.834
Tc 0.000 2.763 10.807
Tc 2.393 1.381 6.760
```

=====

2:
First-principles (PBE) data for crystalline ScPa2Tc3 at its relaxed geometry, as listed in Alexandria via LeMat-Bulk.

Values from the calculation:
crystal system: tetragonal

```
6
Lattice="3.421 0.000 0.000 0.000 3.421 0.000 0.000 0.000 9.981" Properties=species:S:1:pos:R:3 pbc="T T T"
Sc 1.710 1.710 4.991
Pa 1.710 1.710 8.222
Pa 1.710 1.710 1.759
Tc 0.000 0.000 0.000
Tc 0.000 0.000 6.737
Tc 0.000 0.000 3.245
```

=====

Result of the stability comparison: 1 is the most stable of them.